(1)
DFT (PBE) results for a relaxed structure of Cs2PmCuCl6.

Calculated values
The final energy comes out at -3.968 eV/atom. The volume is 32.45 Å³/atom. As for the spin magnetization: 0.0 μB/f.u.

abc: 8.111 8.121 9.853
angles: 90.00 90.00 90.00
Space group Immm (No. 71)
Asymmetric unit:
Cs (0.000, 0.000, 0.250) x4
Pm (0.000, 0.500, 0.000) x2
Cu (0.000, 0.500, 0.500) x2
Cl (0.000, 0.500, 0.278) x4
Cl (0.236, 0.265, 0.000) x8

(2)
DFT (PBE) results for a relaxed structure of Cs3PrCu2Cl9.

Calculated values
The final energy comes out at -3.710 eV/atom. The volume is 28.82 Å³/atom. As for the spin magnetization: 1.1 μB/f.u.

abc: 7.3848 7.3848 9.1532
angles: 90.00 90.00 120.00
Space group P-3m1 (No. 164)
Asymmetric unit:
Cs (0.0000, 0.0000, 0.0000) x1
Cs (0.3333, 0.6667, 0.6798) x2
Pr (0.0000, 0.0000, 0.5000) x1
Cu (0.3333, 0.6667, 0.1316) x2
Cl (0.0000, 0.5000, 0.0000) x3
Cl (0.1742, 0.3483, 0.3235) x6

(3)
DFT (PBE) results for a relaxed structure of Cs2PrCuCl6.

Calculated values
The final energy comes out at -3.948 eV/atom. The volume is 30.68 Å³/atom. As for the spin magnetization: 0.1 μB/f.u.

abc: 10.706 10.706 10.706
angles: 90.00 90.00 90.00
Space group Fm-3m (No. 225)
Asymmetric unit:
Cs (0.250, 0.250, 0.250) x8
Pr (0.000, 0.000, 0.000) x4
Cu (0.000, 0.000, 0.500) x4
Cl (0.000, 0.000, 0.258) x24

(4)
DFT (PBE) results for a relaxed structure of CsPrCuCl5.

Calculated values
The final energy comes out at -4.109 eV/atom. The volume is 34.19 Å³/atom. As for the spin magnetization: 0.1 μB/f.u.

abc: 9.230 12.333 10.432
angles: 90.00 112.86 90.00
Space group C2/c (No. 15)
Asymmetric unit:
Cs (0.000, 0.151, 0.250) x4
Pr (0.000, 0.500, 0.000) x4
Cu (0.000, 0.189, 0.750) x4
Cl (0.000, 0.425, 0.250) x4
Cl (0.097, 0.295, 0.613) x8
Cl (0.194, 0.077, 0.913) x8

(5)
DFT (PBE) results for a relaxed structure of CsPrCu2Cl6.

Calculated values
The final energy comes out at -3.964 eV/atom. The volume is 30.42 Å³/atom. As for the spin magnetization: 0.1 μB/f.u.

abc: 10.305 13.972 8.878
angles: 90.00 107.81 90.00
Space group C2/c (No. 15)
Asymmetric unit:
Cs (0.000, 0.142, 0.250) x4
Pr (0.000, 0.443, 0.750) x4
Cu (0.224, 0.141, 0.722) x8
Cl (0.036, 0.388, 0.072) x8
Cl (0.183, 0.285, 0.779) x8
Cl (0.216, 0.008, 0.597) x8

(6)
DFT (PBE) results for a relaxed structure of CsCuPtCl6.

Calculated values
The final energy comes out at -3.252 eV/atom. The volume is 31.54 Å³/atom. As for the spin magnetization: 0.1 μB/f.u.

abc: 6.5208 6.5208 7.7082
angles: 90.00 90.00 120.00
Space group P312 (No. 149)
Asymmetric unit:
Cs (0.0000, 0.0000, 0.0000) x1
Cu (0.3333, 0.6667, 0.5000) x1
Pt (0.6667, 0.3333, 0.5000) x1
Cl (0.3809, 0.0200, 0.6720) x6

(7)
DFT (PBE) results for a relaxed structure of Cs4PuCu3Cl12.

Calculated values
The final energy comes out at -3.995 eV/atom. The volume is 27.36 Å³/atom. As for the spin magnetization: 3.4 μB/f.u.

abc: 10.306 10.306 10.306
angles: 90.00 90.00 90.00
Space group Im-3m (No. 229)
Asymmetric unit:
Cs (0.250, 0.250, 0.250) x8
Pu (0.000, 0.000, 0.000) x2
Cu (0.000, 0.000, 0.500) x6
Cl (0.000, 0.000, 0.255) x12
Cl (0.000, 0.250, 0.500) x12

(8)
DFT (PBE) results for a relaxed structure of CsPuCuCl5.

Calculated values
The final energy comes out at -5.136 eV/atom. The volume is 33.43 Å³/atom. As for the spin magnetization: 5.0 μB/f.u.

abc: 9.189 12.268 10.321
angles: 90.00 113.13 90.00
Space group C2/c (No. 15)
Asymmetric unit:
Cs (0.000, 0.155, 0.250) x4
Pu (0.000, 0.500, 0.000) x4
Cu (0.000, 0.191, 0.750) x4
Cl (0.000, 0.431, 0.250) x4
Cl (0.092, 0.295, 0.607) x8
Cl (0.197, 0.077, 0.910) x8

(9)
DFT (PBE) results for a relaxed structure of Cs3PuCu2Cl8.

Calculated values
The final energy comes out at -4.364 eV/atom. The volume is 33.76 Å³/atom. As for the spin magnetization: 5.0 μB/f.u.

abc: 7.4708 7.4708 9.7777
angles: 90.00 90.00 120.00
Space group P-3m1 (No. 164)
Asymmetric unit:
Cs (0.0000, 0.0000, 0.0000) x1
Cs (0.3333, 0.6667, 0.6597) x2
Pu (0.0000, 0.0000, 0.5000) x1
Cu (0.3333, 0.6667, 0.2186) x2
Cl (0.1698, 0.3395, 0.3349) x6
Cl (0.3333, 0.6667, 0.9955) x2

(10)
DFT (PBE) results for a relaxed structure of CsPuCu2Cl8.

Calculated values
The final energy comes out at -4.395 eV/atom. The volume is 35.42 Å³/atom. As for the spin magnetization: 2.9 μB/f.u.

abc: 7.1828 7.1828 9.5132
angles: 90.00 90.00 120.00
Space group P-3m1 (No. 164)
Asymmetric unit:
Cs (0.0000, 0.0000, 0.0000) x1
Pu (0.0000, 0.0000, 0.5000) x1
Cu (0.3333, 0.6667, 0.2250) x2
Cl (0.1661, 0.3321, 0.3343) x6
Cl (0.3333, 0.6667, 0.9987) x2

(11)
DFT (PBE) results for a relaxed structure of CsPuCu2Cl6.

Calculated values
The final energy comes out at -4.788 eV/atom. The volume is 34.13 Å³/atom. As for the spin magnetization: 5.0 μB/f.u.

abc: 7.0402 7.0402 23.8565
angles: 90.00 90.00 120.00
Space group R-3 (No. 148, hexagonal axes)
Asymmetric unit:
Cs (0.0000, 0.0000, 0.0000) x3
Pu (0.0000, 0.0000, 0.5000) x3
Cu (0.0000, 0.0000, 0.2313) x6
Cl (0.0046, 0.6236, 0.0963) x18

(12)
DFT (PBE) results for a relaxed structure of CsRbCu2Cl6.

Calculated values
The final energy comes out at -3.166 eV/atom. The volume is 36.52 Å³/atom. As for the spin magnetization: 0.0 μB/f.u.

abc: 11.636 14.180 9.670
angles: 90.00 113.71 90.00
Space group C2/c (No. 15)
Asymmetric unit:
Cs (0.000, 0.137, 0.250) x4
Rb (0.000, 0.443, 0.750) x4
Cu (0.230, 0.144, 0.691) x8
Cl (0.089, 0.355, 0.114) x8
Cl (0.160, 0.285, 0.632) x8
Cl (0.189, 0.002, 0.607) x8

(13)
DFT (PBE) results for a relaxed structure of CsRb2CuCl4.

Calculated values
The final energy comes out at -3.331 eV/atom. The volume is 34.48 Å³/atom. As for the spin magnetization: 0.1 μB/f.u.

abc: 4.462 15.259 16.206
angles: 90.00 90.00 90.00
Space group Cmcm (No. 63)
Asymmetric unit:
Cs (0.000, 0.095, 0.250) x4
Rb (0.000, 0.363, 0.052) x8
Cu (0.000, 0.181, 0.750) x4
Cl (0.000, 0.000, 0.000) x4
Cl (0.000, 0.270, 0.634) x8
Cl (0.000, 0.399, 0.250) x4

(14)
DFT (PBE) results for a relaxed structure of Cs3RbCu2Cl6.

Calculated values
The final energy comes out at -3.316 eV/atom. The volume is 42.22 Å³/atom. As for the spin magnetization: 0.2 μB/f.u.

abc: 7.9418 7.9418 9.2750
angles: 90.00 90.00 120.00
Space group P-3m1 (No. 164)
Asymmetric unit:
Cs (0.0000, 0.0000, 0.0000) x1
Cs (0.3333, 0.6667, 0.6794) x2
Rb (0.0000, 0.0000, 0.5000) x1
Cu (0.3333, 0.6667, 0.2673) x2
Cl (0.1719, 0.3438, 0.2720) x6

(15)
DFT (PBE) results for a relaxed structure of Cs4RbCu3Cl12.

Calculated values
The final energy comes out at -3.153 eV/atom. The volume is 28.95 Å³/atom. As for the spin magnetization: 0.0 μB/f.u.

abc: 10.501 10.501 10.501
angles: 90.00 90.00 90.00
Space group Im-3m (No. 229)
Asymmetric unit:
Cs (0.250, 0.250, 0.250) x8
Rb (0.000, 0.000, 0.000) x2
Cu (0.000, 0.000, 0.500) x6
Cl (0.000, 0.000, 0.290) x12
Cl (0.000, 0.250, 0.500) x12

(16)
DFT (PBE) results for a relaxed structure of CsRbCu2Cl5.

Calculated values
The final energy comes out at -3.292 eV/atom. The volume is 26.77 Å³/atom. As for the spin magnetization: 0.0 μB/f.u.

abc: 4.811 4.811 10.406
angles: 90.00 90.00 90.00
Space group P4/mmm (No. 123)
Asymmetric unit:
Cs (0.000, 0.000, 0.000) x1
Rb (0.000, 0.000, 0.500) x1
Cu (0.500, 0.500, 0.239) x2
Cl (0.000, 0.500, 0.277) x4
Cl (0.500, 0.500, 0.000) x1

(17)
DFT (PBE) results for a relaxed structure of Cs2RbCu2Cl6.

Calculated values
The final energy comes out at -3.320 eV/atom. The volume is 36.41 Å³/atom. As for the spin magnetization: 1.0 μB/f.u.

abc: 13.308 7.369 9.100
angles: 90.00 116.14 90.00
Space group C2/m (No. 12)
Asymmetric unit:
Cs (0.203, 0.000, 0.190) x4
Rb (0.000, 0.000, 0.500) x2
Cu (0.046, 0.500, 0.245) x4
Cl (0.062, 0.257, 0.822) x8
Cl (0.229, 0.500, 0.377) x4

(18)
DFT (PBE) results for a relaxed structure of CsRb2Cu2Cl6.

Calculated values
The final energy comes out at -3.311 eV/atom. The volume is 35.08 Å³/atom. As for the spin magnetization: 1.0 μB/f.u.

abc: 11.397 7.284 9.919
angles: 90.00 110.39 90.00
Space group C2/m (No. 12)
Asymmetric unit:
Cs (0.000, 0.000, 0.000) x2
Rb (0.184, 0.000, 0.637) x4
Cu (0.034, 0.500, 0.796) x4
Cl (0.059, 0.252, 0.326) x8
Cl (0.184, 0.500, 0.004) x4

(19)
DFT (PBE) results for a relaxed structure of Cs3RbCu2Cl9.

Calculated values
The final energy comes out at -3.115 eV/atom. The volume is 30.50 Å³/atom. As for the spin magnetization: 0.0 μB/f.u.

abc: 7.2779 7.2779 9.9728
angles: 90.00 90.00 120.00
Space group P-3m1 (No. 164)
Asymmetric unit:
Cs (0.0000, 0.0000, 0.0000) x1
Cs (0.3333, 0.6667, 0.7092) x2
Rb (0.0000, 0.0000, 0.5000) x1
Cu (0.3333, 0.6667, 0.1454) x2
Cl (0.0000, 0.5000, 0.0000) x3
Cl (0.1789, 0.3578, 0.2763) x6